Computed, not measured: crystalline Ca4GaBi at its relaxed geometry at the GGA-PBE level of DFT.

Computed properties:
E_form: -0.51 eV/atom

Unit cell a=9.804 b=14.125 c=6.788 alpha=90.00 beta=120.49 gamma=90.00
Space group C2/c (No. 15)
One atom of each set of equivalent atoms:
Ca 0.116 0.172 0.087 [8 per cell]
Ca 0.210 0.437 0.291 [8 per cell]
Ga 0.000 0.002 0.250 [4 per cell]
Bi 0.000 0.364 0.750 [4 per cell]